A geometry-optimized ErTiAl4 structure, computed with PBE.

Its formation energy is -0.32 eV per atom.

The structure belongs to space group Cmcm (No. 63); the cell edges are 4.057, 17.663 and 6.313 Å and the angles 90.00°, 90.00° and 90.00°. Symmetry generates all atoms from Er at (0.000, 0.099, 0.250), Ti at (0.000, 0.231, 0.750), Al at (0.000, 0.077, 0.750), Al at (0.000, 0.341, 0.042) and Al at (0.000, 0.500, 0.000).